(1)
Below is crystalline Y2FePtN at its relaxed geometry, with properties calculated at the PBE-GGA level.

a b c (Å): 4.908 4.908 3.593
angles (deg): 90.00 90.00 90.00
Sites, in units of the cell vectors:
1 Y 0.000 0.500 0.000
2 Y 0.500 0.000 0.000
3 Fe 0.000 0.000 0.500
4 Pt 0.500 0.500 0.500
5 N 0.000 0.000 0.000

Calculated values
Space group   P4/mmm
Magnetic moment   0.68 μB/f.u.
Calculated total energy   -0.600 Ry per atom
ΔE_f (raw)   -1.017 eV/atom



(2)
Below is crystalline PuFe2N at its relaxed geometry, with properties calculated at the PBE-GGA level.

a b c (Å): 6.790 6.790 6.790
angles (deg): 25.24 25.24 25.24
Sites, in units of the cell vectors:
1 Pu 0.000 0.000 0.000
2 Fe 0.119 0.119 0.119
3 Fe 0.881 0.881 0.881
4 N 0.500 0.500 0.500

Calculated values
Space group   R-3m
Magnetic moment   3.15 μB/f.u.
Calculated total energy   -0.708 Ry per atom
ΔE_f (raw)   0.257 eV/atom



(3)
Below is crystalline PuFeN at its relaxed geometry, with properties calculated at the PBE-GGA level.

a b c (Å): 4.762 4.762 4.762
angles (deg): 141.43 141.43 55.69
Sites, in units of the cell vectors:
1 Pu 0.000 0.000 0.000
2 Fe 0.270 0.270 0.000
3 N 0.750 0.750 0.000

Calculated values
Space group   I4mm
Magnetic moment   2.62 μB/f.u.
Polymorph energy (0 for the lowest one)   681 meV per atom
Calculated total energy   -0.756 Ry per atom
ΔE_f (raw)   0.093 eV/atom



(4)
Below is crystalline Pu5FeN8 at its relaxed geometry, with properties calculated at the PBE-GGA level.

a b c (Å): 6.163 6.163 6.163
angles (deg): 109.73 109.73 108.96
Sites, in units of the cell vectors:
1 Pu 0.000 0.000 0.000
2 Pu 0.216 0.129 0.586
3 Pu 0.371 0.784 0.914
4 Pu 0.543 0.629 0.414
5 Pu 0.871 0.457 0.086
6 Fe 0.750 0.250 0.500
7 N 0.023 0.796 0.632
8 N 0.078 0.346 0.829
9 N 0.165 0.391 0.368
10 N 0.204 0.835 0.227
11 N 0.517 0.249 0.171
12 N 0.609 0.977 0.773
13 N 0.654 0.483 0.732
14 N 0.751 0.922 0.268

Calculated values
Space group   I-4
Magnetic moment   15.93 μB/f.u.
Calculated total energy   -0.828 Ry per atom
ΔE_f (raw)   -0.788 eV/atom



(5)
Below is crystalline PuFeN at its relaxed geometry, with properties calculated at the PBE-GGA level.

a b c (Å): 3.389 3.389 7.474
angles (deg): 90.00 90.00 90.00
Sites, in units of the cell vectors:
1 Pu 0.250 0.250 0.169
2 Pu 0.750 0.750 0.831
3 Fe 0.250 0.250 0.563
4 Fe 0.750 0.750 0.437
5 N 0.250 0.250 0.845
6 N 0.750 0.750 0.155

Calculated values
Space group   P4/nmm
Magnetic moment   7.14 μB/f.u.
Polymorph energy (0 for the lowest one)   0 meV per atom
Calculated total energy   -0.806 Ry per atom
ΔE_f (raw)   -0.588 eV/atom



(6)
Below is crystalline Pu3FeN6 at its relaxed geometry, with properties calculated at the PBE-GGA level.

a b c (Å): 7.144 7.144 5.311
angles (deg): 90.00 90.00 103.45
Sites, in units of the cell vectors:
1 Pu 0.107 0.893 0.500
2 Pu 0.195 0.413 0.527
3 Pu 0.413 0.195 0.027
4 Pu 0.587 0.805 0.527
5 Pu 0.805 0.587 0.027
6 Pu 0.893 0.107 0.000
7 Fe 0.304 0.696 0.076
8 Fe 0.696 0.304 0.576
9 N 0.082 0.613 0.249
10 N 0.145 0.171 0.266
11 N 0.171 0.145 0.766
12 N 0.291 0.709 0.735
13 N 0.387 0.918 0.249
14 N 0.447 0.553 0.222
15 N 0.553 0.447 0.722
16 N 0.613 0.082 0.749
17 N 0.709 0.291 0.235
18 N 0.829 0.855 0.266
19 N 0.855 0.829 0.766
20 N 0.918 0.387 0.749

Calculated values
Space group   Cmc2_1
Magnetic moment   13.93 μB/f.u.
Calculated total energy   -0.805 Ry per atom
ΔE_f (raw)   -0.811 eV/atom



(7)
Below is crystalline PuFeSiN at its relaxed geometry, with properties calculated at the PBE-GGA level.

a b c (Å): 3.659 3.659 8.402
angles (deg): 90.00 90.00 90.00
Sites, in units of the cell vectors:
1 Pu 0.250 0.250 0.152
2 Pu 0.750 0.750 0.848
3 Fe 0.250 0.750 0.500
4 Fe 0.750 0.250 0.500
5 Si 0.250 0.250 0.664
6 Si 0.750 0.750 0.336
7 N 0.250 0.250 0.877
8 N 0.750 0.750 0.123

Calculated values
Space group   P4/nmm
Magnetic moment   6.48 μB/f.u.
Calculated total energy   -0.732 Ry per atom
ΔE_f (raw)   -0.830 eV/atom



(8)
Below is crystalline Pu2Fe2Si2N at its relaxed geometry, with properties calculated at the PBE-GGA level.

a b c (Å): 5.651 5.651 6.795
angles (deg): 126.72 126.72 39.70
Sites, in units of the cell vectors:
1 Pu 0.064 0.064 0.291
2 Pu 0.936 0.936 0.709
3 Fe 0.300 0.300 0.913
4 Fe 0.700 0.700 0.087
5 Si 0.343 0.343 0.291
6 Si 0.657 0.657 0.709
7 N 0.500 0.500 0.000

Calculated values
Space group   C2/m
Magnetic moment   10.88 μB/f.u.
Calculated total energy   -0.726 Ry per atom
ΔE_f (raw)   -0.630 eV/atom



(9)
Below is crystalline PuFe2SiN at its relaxed geometry, with properties calculated at the PBE-GGA level.

a b c (Å): 5.617 5.617 6.675
angles (deg): 90.00 90.00 141.95
Sites, in units of the cell vectors:
1 Pu 0.050 0.950 0.750
2 Pu 0.950 0.050 0.250
3 Fe 0.335 0.665 0.557
4 Fe 0.335 0.665 0.943
5 Fe 0.665 0.335 0.057
6 Fe 0.665 0.335 0.443
7 Si 0.227 0.773 0.250
8 Si 0.773 0.227 0.750
9 N 0.500 0.500 0.000
10 N 0.500 0.500 0.500

Calculated values
Space group   Cmcm
Magnetic moment   4.21 μB/f.u.
Calculated total energy   -0.709 Ry per atom
ΔE_f (raw)   -0.651 eV/atom



(10)
Below is crystalline SrPuFeN3 at its relaxed geometry, with properties calculated at the PBE-GGA level.

a b c (Å): 7.308 3.448 7.578
angles (deg): 90.00 100.24 90.00
Sites, in units of the cell vectors:
1 Sr 0.174 0.250 0.198
2 Sr 0.826 0.750 0.802
3 Pu 0.350 0.750 0.832
4 Pu 0.650 0.250 0.168
5 Fe 0.075 0.250 0.596
6 Fe 0.925 0.750 0.404
7 N 0.143 0.250 0.845
8 N 0.161 0.750 0.537
9 N 0.437 0.750 0.132
10 N 0.563 0.250 0.868
11 N 0.839 0.250 0.463
12 N 0.857 0.750 0.155

Calculated values
Space group   P2_1/m
Magnetic moment   3.41 μB/f.u.
Calculated total energy   -0.661 Ry per atom
ΔE_f (raw)   -0.757 eV/atom



(11)
Below is crystalline TbPu2FeN4 at its relaxed geometry, with properties calculated at the PBE-GGA level.

a b c (Å): 5.884 5.884 11.380
angles (deg): 90.00 90.00 146.54
Sites, in units of the cell vectors:
1 Tb 0.105 0.895 0.750
2 Tb 0.895 0.105 0.250
3 Pu 0.369 0.631 0.556
4 Pu 0.369 0.631 0.944
5 Pu 0.631 0.369 0.056
6 Pu 0.631 0.369 0.444
7 Fe 0.159 0.841 0.250
8 Fe 0.841 0.159 0.750
9 N 0.000 0.000 0.000
10 N 0.000 0.000 0.500
11 N 0.269 0.731 0.117
12 N 0.269 0.731 0.383
13 N 0.452 0.548 0.750
14 N 0.548 0.452 0.250
15 N 0.731 0.269 0.617
16 N 0.731 0.269 0.883

Calculated values
Space group   Cmcm
Magnetic moment   4.99 μB/f.u.
Calculated total energy   -0.768 Ry per atom
ΔE_f (raw)   -1.060 eV/atom



(12)
Below is crystalline PuThFeN4 at its relaxed geometry, with properties calculated at the PBE-GGA level.

a b c (Å): 6.828 6.828 6.828
angles (deg): 148.59 148.59 45.02
Sites, in units of the cell vectors:
1 Pu 0.000 0.000 0.000
2 Th 0.276 0.276 0.000
3 Fe 0.610 0.610 0.000
4 N 0.133 0.633 0.500
5 N 0.464 0.464 0.000
6 N 0.633 0.133 0.500
7 N 0.826 0.826 0.000

Calculated values
Space group   I4mm
Magnetic moment   1.94 μB/f.u.
Calculated total energy   -0.735 Ry per atom
ΔE_f (raw)   -0.927 eV/atom